# GGA-PBE Al6Ni7, relaxed
# Calculated volume in Å³ per cell: 493.09
# ρ in g/cm³: 5.79
# E above lowest polymorph in kJ/mol of atoms: 17.0
# E_tot in eV/atom: -4.949
data_Al6Ni7
_cell_length_a 4.9096
_cell_length_b 4.9096
_cell_length_c 23.6210
_cell_angle_alpha 90.00
_cell_angle_beta 90.00
_cell_angle_gamma 120.00
_space_group_name_H-M_alt 'R -3 m'
_space_group_IT_number 166
_space_group_name_Hall '-R 3 2"'
loop_
_atom_site_label
_atom_site_type_symbol
_atom_site_fract_x
_atom_site_fract_y
_atom_site_fract_z
_atom_site_occupancy
Al1 Al 0.0019 0.5010 0.4132 1
Ni1 Ni 0.0000 0.0000 0.0000 1
Ni2 Ni 0.0000 0.0000 0.1671 1
Ni3 Ni 0.0000 0.0000 0.3443 1
Ni4 Ni 0.0000 0.0000 0.4508 1